Gd2SnS5: optimized geometry, GGA-PBE.

Values from the calculation:
uncorrected formation energy: -1432 meV per atom
space group: Pbam (55)

a = 3.853 Å, b = 7.797 Å, c = 11.416 Å
α = 90.00°, β = 90.00°, γ = 90.00°
Sites, in units of the cell vectors:
Gd 0.500 0.531 0.827
Gd 0.500 0.969 0.327
Gd 0.500 0.469 0.173
Gd 0.500 0.031 0.673
Sn 0.000 0.000 0.000
Sn 0.000 0.500 0.500
S 0.000 0.825 0.805
S 0.000 0.000 0.500
S 0.000 0.175 0.195
S 0.000 0.325 0.695
S 0.500 0.829 0.096
S 0.500 0.329 0.404
S 0.000 0.675 0.305
S 0.500 0.171 0.904
S 0.000 0.500 0.000
S 0.500 0.671 0.596

---

GdSnS2: optimized geometry, GGA-PBE.

Values from the calculation:
uncorrected formation energy: -566 meV per atom
space group: R-3m (166)

a = 4.050 Å, b = 4.050 Å, c = 8.657 Å
α = 76.47°, β = 76.47°, γ = 60.00°
Sites, in units of the cell vectors:
S 0.104 0.104 0.689
S 0.896 0.896 0.311
Gd 0.000 0.000 0.000
Sn 0.500 0.500 0.500

---

Sr2GdS3: optimized geometry, GGA-PBE.

Values from the calculation:
uncorrected formation energy: -1932 meV per atom
space group: P4/mmm (123)

a = 4.121 Å, b = 4.121 Å, c = 11.994 Å
α = 90.00°, β = 90.00°, γ = 90.00°
Sites, in units of the cell vectors:
Sr 0.000 0.000 0.242
Sr 0.000 0.000 0.758
Gd 0.500 0.500 0.000
S 0.500 0.500 0.240
S 0.500 0.500 0.760
S 0.000 0.000 0.000

---

SrGdS2: optimized geometry, GGA-PBE.

Values from the calculation:
uncorrected formation energy: -2064 meV per atom
space group: R-3m (166)

a = 4.078 Å, b = 4.078 Å, c = 7.206 Å
α = 73.56°, β = 73.56°, γ = 60.00°
Sites, in units of the cell vectors:
Sr 0.500 0.500 0.500
S 0.256 0.256 0.232
S 0.744 0.744 0.768
Gd 0.000 0.000 0.000

---

TbGd2S: optimized geometry, GGA-PBE.

Values from the calculation:
uncorrected formation energy: -743 meV per atom
space group: R-3m (166)

a = 3.683 Å, b = 3.683 Å, c = 10.392 Å
α = 79.79°, β = 79.79°, γ = 60.00°
Sites, in units of the cell vectors:
S 0.500 0.500 0.500
Gd 0.112 0.112 0.664
Gd 0.888 0.888 0.336
Tb 0.000 0.000 0.000

---

Tb3GdS: optimized geometry, GGA-PBE.

Values from the calculation:
uncorrected formation energy: -660 meV per atom
space group: Pm-3m (221)

a = 5.335 Å, b = 5.335 Å, c = 5.335 Å
α = 90.00°, β = 90.00°, γ = 90.00°
Sites, in units of the cell vectors:
S 0.000 0.000 0.000
Gd 0.500 0.500 0.500
Tb 0.000 0.500 0.000
Tb 0.000 0.000 0.500
Tb 0.500 0.000 0.000

---

Tb2GdS: optimized geometry, GGA-PBE.

Values from the calculation:
uncorrected formation energy: -758 meV per atom
space group: R-3m (166)

a = 3.680 Å, b = 3.680 Å, c = 10.281 Å
α = 79.69°, β = 79.69°, γ = 60.00°
Sites, in units of the cell vectors:
S 0.500 0.500 0.500
Gd 0.000 0.000 0.000
Tb 0.112 0.112 0.664
Tb 0.888 0.888 0.336

---

GdTeS: optimized geometry, GGA-PBE.

Values from the calculation:
uncorrected formation energy: -1258 meV per atom
space group: I4mm (107)

a = 3.657 Å, b = 3.657 Å, c = 6.307 Å
α = 106.85°, β = 106.85°, γ = 90.00°
Sites, in units of the cell vectors:
S 0.041 0.041 0.083
Gd 0.632 0.632 0.263
Te 0.327 0.327 0.654

---

GdTh3S: optimized geometry, GGA-PBE.

Values from the calculation:
uncorrected formation energy: -576 meV per atom
space group: Pm-3m (221)

a = 5.431 Å, b = 5.431 Å, c = 5.431 Å
α = 90.00°, β = 90.00°, γ = 90.00°
Sites, in units of the cell vectors:
S 0.000 0.000 0.000
Gd 0.500 0.500 0.500
Th 0.000 0.500 0.000
Th 0.000 0.000 0.500
Th 0.500 0.000 0.000

---

GdTiS2: optimized geometry, GGA-PBE.

Values from the calculation:
uncorrected formation energy: -1138 meV per atom
space group: R-3m (166)

a = 3.542 Å, b = 3.542 Å, c = 8.499 Å
α = 77.97°, β = 77.97°, γ = 60.00°
Sites, in units of the cell vectors:
S 0.110 0.110 0.671
S 0.890 0.890 0.329
Gd 0.000 0.000 0.000
Ti 0.500 0.500 0.500

---

Gd3Tl5S12: optimized geometry, GGA-PBE.

Values from the calculation:
uncorrected formation energy: -755 meV per atom
space group: Ia-3d (230)

a = 13.882 Å, b = 13.882 Å, c = 13.882 Å
α = 109.47°, β = 109.47°, γ = 109.47°
Sites, in units of the cell vectors:
Gd 0.750 0.375 0.125
Gd 0.875 0.750 0.125
Gd 0.375 0.750 0.625
Gd 0.250 0.125 0.375
Gd 0.875 0.125 0.250
Gd 0.375 0.625 0.250
Gd 0.625 0.375 0.750
Gd 0.125 0.875 0.750
Gd 0.750 0.875 0.625
Gd 0.625 0.250 0.375
Gd 0.125 0.250 0.875
Gd 0.250 0.625 0.875
Tl 0.125 0.375 0.250
Tl 0.000 0.500 0.000
Tl 0.000 0.000 0.000
Tl 0.375 0.250 0.125
Tl 0.500 0.000 0.500
Tl 0.500 0.500 0.000
Tl 0.125 0.750 0.375
Tl 0.750 0.125 0.875
Tl 0.750 0.625 0.375
Tl 0.375 0.125 0.750
Tl 0.625 0.875 0.250
Tl 0.500 0.500 0.500
Tl 0.500 0.000 0.000
Tl 0.000 0.000 0.500
Tl 0.250 0.375 0.625
Tl 0.250 0.875 0.125
Tl 0.000 0.500 0.500
Tl 0.875 0.250 0.625
Tl 0.625 0.750 0.875
Tl 0.875 0.625 0.750
S 0.721 0.135 0.049
S 0.328 0.549 0.414
S 0.951 0.365 0.279
S 0.549 0.221 0.135
S 0.586 0.721 0.672
S 0.951 0.586 0.172
S 0.328 0.779 0.414
S 0.086 0.914 0.135
S 0.586 0.951 0.672
S 0.721 0.586 0.172
S 0.779 0.451 0.365
S 0.828 0.914 0.049
S 0.135 0.721 0.549
S 0.365 0.414 0.086
S 0.086 0.914 0.365
S 0.414 0.135 0.586
S 0.086 0.172 0.221
S 0.451 0.672 0.086
S 0.828 0.914 0.279
S 0.135 0.414 0.086
S 0.365 0.951 0.779
S 0.586 0.635 0.414
S 0.914 0.828 0.549
S 0.779 0.328 0.914
S 0.414 0.365 0.586
S 0.086 0.172 0.451
S 0.221 0.672 0.086
S 0.172 0.086 0.721
S 0.635 0.049 0.221
S 0.865 0.586 0.914
S 0.549 0.328 0.914
S 0.586 0.865 0.414
S 0.914 0.828 0.779
S 0.914 0.086 0.635
S 0.865 0.279 0.451
S 0.172 0.086 0.951
S 0.635 0.586 0.914
S 0.414 0.049 0.328
S 0.279 0.414 0.828
S 0.221 0.549 0.635
S 0.914 0.086 0.865
S 0.672 0.221 0.586
S 0.451 0.779 0.865
S 0.049 0.414 0.828
S 0.414 0.279 0.328
S 0.049 0.635 0.721
S 0.672 0.451 0.586
S 0.279 0.865 0.951

---

Gd2TlS: optimized geometry, GGA-PBE.

Values from the calculation:
uncorrected formation energy: -1184 meV per atom
space group: R-3m (166)

a = 3.896 Å, b = 3.896 Å, c = 8.310 Å
α = 76.44°, β = 76.44°, γ = 60.00°
Sites, in units of the cell vectors:
Tl 0.500 0.500 0.500
Gd 0.266 0.266 0.202
Gd 0.734 0.734 0.798
S 0.000 0.000 0.000

---

Number 1: total magnetic moment 28.0 μB/cell. Number 2: total magnetic moment 7.4 μB/cell. Number 3: total magnetic moment 6.9 μB/cell. Number 4: total magnetic moment 6.9 μB/cell. Number 5: total magnetic moment 15.1 μB/cell. Number 6: total magnetic moment 7.9 μB/cell. Number 7: total magnetic moment 7.9 μB/cell. Number 8: total magnetic moment 6.8 μB/cell. Number 9: total magnetic moment 7.3 μB/cell. Number 10: total magnetic moment 7.3 μB/cell. Number 11: total magnetic moment 83.8 μB/cell. Number 12: total magnetic moment 14.1 μB/cell.